DFT (SCAN) results for TlRu3 at its PBEsol-relaxed geometry.

Energy above the most stable polymorph in this dataset: 0.142 eV per formula unit
Formation enthalpy at 0 K: 2.20 eV per formula unit

Lattice parameters (Å, degrees): 2.778 3.741 5.905 90.00 90.00 90.00
Sites, in units of the cell vectors:
1 Ru 0.500 0.500 0.717
2 Ru 0.500 0.500 0.283
3 Ru 0.000 0.000 0.500
4 Tl 0.000 0.000 0.000



DFT (SCAN) results for KAl2P2H4O11 at its PBEsol-relaxed geometry.

Lattice parameters (Å, degrees): 9.088 9.345 10.353 90.00 90.00 90.00
Site moments in Bohr magnetons follow the coordinates.
Sites, in units of the cell vectors:
1 O 0.020 0.112 0.748  0.01
2 O 0.039 0.365 0.665  0.01
3 O 0.754 0.682 0.869  0.00
4 O 0.011 0.159 0.510  0.03
5 O 0.511 0.341 0.490  0.03
6 O 0.681 0.963 0.883  0.63
7 O 0.926 0.085 0.994  0.02
8 O 0.005 0.645 0.283  0.01
9 O 0.270 0.270 0.188  0.00
10 O 0.017 0.382 0.349  0.00
11 O 0.319 0.463 0.617  0.63
12 O 0.517 0.118 0.651  0.00
13 O 0.995 0.145 0.217  0.01
14 O 0.752 0.975 0.674  0.19
15 O 0.730 0.770 0.312  0.00
16 O 0.748 0.025 0.174  0.19
17 O 0.912 0.367 0.988  0.00
18 O 0.495 0.355 0.783  0.01
19 O 0.983 0.882 0.151  0.00
20 O 0.246 0.182 0.631  0.00
21 O 0.539 0.135 0.335  0.01
22 O 0.961 0.865 0.835  0.01
23 O 0.230 0.730 0.688  0.00
24 O 0.181 0.537 0.117  0.63
25 O 0.819 0.037 0.383  0.63
26 O 0.074 0.585 0.506  0.02
27 O 0.248 0.475 0.826  0.19
28 O 0.461 0.635 0.165  0.01
29 O 0.746 0.318 0.369  0.00
30 O 0.483 0.618 0.849  0.00
31 O 0.088 0.867 0.512  0.00
32 O 0.574 0.915 0.494  0.02
33 O 0.252 0.525 0.326  0.19
34 O 0.489 0.841 0.010  0.03
35 O 0.480 0.888 0.248  0.01
36 O 0.989 0.659 0.990  0.03
37 O 0.770 0.230 0.812  0.00
38 O 0.505 0.855 0.717  0.01
39 O 0.588 0.633 0.488  0.00
40 O 0.980 0.612 0.752  0.01
41 O 0.254 0.818 0.131  0.00
42 O 0.426 0.415 0.006  0.02
43 O 0.412 0.133 0.012  0.00
44 O 0.520 0.388 0.252  0.01
45 H 0.004 0.933 0.520  0.00
46 H 0.996 0.433 0.980  0.00
47 H 0.678 0.700 0.373  0.00
48 H 0.662 0.245 0.817  0.00
49 H 0.052 0.768 0.492  0.00
50 H 0.322 0.200 0.127  0.00
51 H 0.448 0.232 0.992  0.00
52 H 0.504 0.567 0.480  0.00
53 H 0.162 0.255 0.183  0.00
54 H 0.338 0.745 0.683  0.00
55 H 0.496 0.067 0.020  0.00
56 H 0.822 0.300 0.873  0.00
57 H 0.838 0.755 0.317  0.00
58 H 0.178 0.800 0.627  0.00
59 H 0.552 0.732 0.508  0.00
60 H 0.948 0.268 0.008  0.00
61 Al 0.413 0.286 0.633  -0.01
62 Al 0.357 0.463 0.173  -0.01
63 Al 0.643 0.963 0.327  -0.01
64 Al 0.857 0.037 0.827  -0.01
65 Al 0.143 0.537 0.673  -0.01
66 Al 0.587 0.786 0.867  -0.01
67 Al 0.087 0.714 0.133  -0.01
68 Al 0.913 0.214 0.367  -0.01
69 P 0.586 0.971 0.634  0.00
70 P 0.577 0.291 0.360  0.00
71 P 0.414 0.471 0.866  0.00
72 P 0.086 0.529 0.366  0.00
73 P 0.423 0.791 0.140  0.00
74 P 0.923 0.709 0.860  0.00
75 P 0.077 0.209 0.640  0.00
76 P 0.914 0.029 0.134  0.00
77 K 0.261 0.031 0.365  0.00
78 K 0.739 0.531 0.135  0.00
79 K 0.761 0.469 0.635  0.00
80 K 0.239 0.969 0.865  0.00



DFT (SCAN) results for Ba6Fe3Si8C2Cl3O30 at its PBEsol-relaxed geometry.

Formation energy from raw total energies: -2585.0 meV per atom

Lattice parameters (Å, degrees): 7.103 10.607 10.607 120.00 90.00 90.00
Site moments in Bohr magnetons follow the coordinates.
Sites, in units of the cell vectors:
1 O 0.677 0.085 0.668  0.01
2 O 0.999 0.667 0.333  0.00
3 O 0.763 0.930 0.070  0.00
4 O 0.342 0.071 0.141  0.00
5 O 0.309 0.088 0.420  0.01
6 O 0.763 0.930 0.860  0.00
7 O 0.677 0.332 0.416  0.01
8 O 0.995 0.494 0.506  0.00
9 O 0.303 0.583 0.166  0.00
10 O 0.763 0.140 0.070  0.00
11 O 0.995 0.494 0.987  0.00
12 O 0.342 0.071 0.929  0.00
13 O 0.699 0.834 0.417  0.00
14 O 0.677 0.332 0.915  0.01
15 O 0.699 0.583 0.417  0.00
16 O 0.995 0.013 0.506  0.00
17 O 0.309 0.088 0.668  0.01
18 O 0.677 0.584 0.668  0.01
19 O 0.303 0.583 0.417  0.00
20 O 0.965 0.333 0.667  0.91
21 O 0.309 0.332 0.912  0.01
22 O 0.309 0.580 0.912  0.01
23 O 0.699 0.583 0.166  0.00
24 O 0.677 0.584 0.915  0.01
25 O 0.309 0.580 0.668  0.01
26 O 0.677 0.085 0.416  0.01
27 O 0.303 0.834 0.417  0.00
28 O 0.309 0.332 0.420  0.01
29 O 0.342 0.859 0.929  0.00
30 O 0.496 0.333 0.667  0.00
31 Ba 0.992 0.154 0.846  0.00
32 Ba 0.485 0.840 0.680  0.00
33 Ba 0.992 0.693 0.846  0.00
34 Ba 0.992 0.154 0.307  0.00
35 Ba 0.485 0.320 0.160  0.00
36 Ba 0.485 0.840 0.160  0.00
37 Cl 0.058 0.345 0.172  0.00
38 Cl 0.058 0.828 0.172  0.00
39 Cl 0.058 0.828 0.655  0.00
40 Si 0.764 0.010 0.505  0.00
41 Si 0.226 0.496 0.504  0.00
42 Si 0.221 0.667 0.333  0.00
43 Si 0.764 0.495 0.505  0.00
44 Si 0.226 0.007 0.504  0.00
45 Si 0.764 0.495 0.990  0.00
46 Si 0.778 0.667 0.333  0.00
47 Si 0.226 0.496 0.993  0.00
48 Fe 0.493 0.232 0.768  1.82
49 Fe 0.493 0.537 0.768  1.82
50 Fe 0.493 0.232 0.463  1.82
51 C 0.340 0.000 0.000  0.00
52 C 0.758 0.000 0.000  0.00



DFT (SCAN) results for Ba2AgP at its PBEsol-relaxed geometry.

Formation enthalpy at 0 K: -2.35 eV per formula unit

Lattice parameters (Å, degrees): 4.209 4.727 6.746 110.51 108.18 90.00
Sites, in units of the cell vectors:
1 Ag 0.195 0.695 0.389
2 Ba 0.984 0.984 0.969
3 Ba 0.762 0.262 0.524
4 P 0.559 0.559 0.118



DFT (SCAN) results for HgP2 at its PBEsol-relaxed geometry.

Formation enthalpy at 0 K: 3.02 eV per formula unit

Lattice parameters (Å, degrees): 4.838 4.838 5.260 90.00 90.00 120.00
Sites, in units of the cell vectors:
1 Hg 0.667 0.333 0.250
2 Hg 0.333 0.667 0.750
3 P 0.667 0.333 0.750
4 P 0.000 0.000 0.500
5 P 0.333 0.667 0.250
6 P 0.000 0.000 0.000



DFT (SCAN) results for Ge3OsRu at its PBEsol-relaxed geometry.

Formation enthalpy at 0 K: 5.25 eV per formula unit

Lattice parameters (Å, degrees): 4.684 4.684 4.684 90.00 90.00 90.00
Site moments in Bohr magnetons follow the coordinates.
Sites, in units of the cell vectors:
1 Ge 0.000 0.000 0.500  -0.03
2 Ge 0.500 0.000 0.000  -0.03
3 Ge 0.000 0.500 0.000  -0.03
4 Ru 0.500 0.500 0.500  2.18
5 Os 0.000 0.000 0.000  -0.01



Number 1: total magnetic moment 0.00 μB per formula unit, final energy -174.63 eV per cell. Number 2: total magnetic moment 1.04 μB per formula unit, final energy -685.48 eV per cell. Number 3: total magnetic moment 6.99 μB per formula unit, final energy -737.30 eV per cell. Number 4: total magnetic moment 0.00 μB per formula unit, final energy -123.22 eV per cell. Number 5: total magnetic moment 0.00 μB per formula unit, final energy -171.89 eV per cell. Number 6: total magnetic moment 2.09 μB per formula unit, final energy -158.72 eV per cell.